## TlInMo2O8 (PBE with a Hubbard U)

Data for a relaxed TlInMo2O8 crystal.

## Properties
- E (eV per atom) = -6.448
- volume (Å³/cell) = 868
- symmetry = No. 62

abc: 15.7190 5.9530 9.2765
angles: 90.00 90.00 90.00
Last column: nearest neighbours and their distance in Å.
Positions (direct):
Tl 0.1237 0.2500 0.0789  1 O 2.67
Tl 0.3763 0.7500 0.5789  1 O 2.67
Tl 0.6237 0.2500 0.4211  1 O 2.67
Tl 0.8763 0.7500 0.9211  1 O 2.67
In 0.1191 0.7500 0.6796  6 O 2.15-2.18
In 0.3809 0.2500 0.1796  6 O 2.15-2.18
In 0.6191 0.7500 0.8204  6 O 2.15-2.18
In 0.8809 0.2500 0.3204  6 O 2.15-2.18
Mo 0.0279 0.7500 0.2887  4 O 1.76-1.82
Mo 0.2199 0.2500 0.4893  4 O 1.75-1.82
Mo 0.2801 0.7500 0.9893  4 O 1.75-1.82
Mo 0.4721 0.2500 0.7887  4 O 1.76-1.82
Mo 0.5279 0.7500 0.2113  4 O 1.76-1.82
Mo 0.7199 0.2500 0.0107  4 O 1.75-1.82
Mo 0.7801 0.7500 0.5107  4 O 1.75-1.82
Mo 0.9721 0.2500 0.7113  4 O 1.76-1.82
O 0.0334 0.0038 0.7630  1 Mo 1.82
O 0.0334 0.4962 0.7630  1 Mo 1.82
O 0.0515 0.7500 0.4777  1 Mo 1.79
O 0.1218 0.7500 0.1860  1 Mo 1.76
O 0.1358 0.2500 0.3657  1 Mo 1.75
O 0.1824 0.7500 0.8866  1 Mo 1.81
O 0.2100 0.5035 0.5977  1 Mo 1.82
O 0.2100 0.9965 0.5977  1 Mo 1.82
O 0.2900 0.0035 0.0977  1 Mo 1.82
O 0.2900 0.4965 0.0977  1 Mo 1.82
O 0.3176 0.2500 0.3866  1 Mo 1.81
O 0.3642 0.7500 0.8657  1 Mo 1.75
O 0.3782 0.2500 0.6860  1 Mo 1.76
O 0.4485 0.2500 0.9777  1 Mo 1.79
O 0.4666 0.5038 0.2630  1 Mo 1.82
O 0.4666 0.9962 0.2630  1 Mo 1.82
O 0.5334 0.0038 0.7370  1 Mo 1.82
O 0.5334 0.4962 0.7370  1 Mo 1.82
O 0.5515 0.7500 0.0223  1 Mo 1.79
O 0.6218 0.7500 0.3140  1 Mo 1.76
O 0.6358 0.2500 0.1343  1 Mo 1.75
O 0.6824 0.7500 0.6134  1 Mo 1.81
O 0.7100 0.5035 0.9023  1 Mo 1.82
O 0.7100 0.9965 0.9023  1 Mo 1.82
O 0.7900 0.0035 0.4023  1 Mo 1.82
O 0.7900 0.4965 0.4023  1 Mo 1.82
O 0.8176 0.2500 0.1134  1 Mo 1.81
O 0.8642 0.7500 0.6343  1 Mo 1.75
O 0.8782 0.2500 0.8140  1 Mo 1.76
O 0.9485 0.2500 0.5223  1 Mo 1.79
O 0.9666 0.5038 0.2370  1 Mo 1.82
O 0.9666 0.9962 0.2370  1 Mo 1.82